No. 1
Material: SiPAuO
Method: DFT, GGA-PBE
State: optimized geometry

POSCAR file:
```
SiPAuO
1.0
-1.7882 3.8841 -0.0828
-2.9499 -1.2982 2.8113
4.6406 2.2626 5.9140
Au Si P O
2 2 2 2
Direct
0.0000 0.5000 0.0539 Au
0.5000 0.0000 0.9461 Au
0.5000 0.5000 0.5000 Si
0.0000 0.0000 0.5000 Si
0.5000 0.0000 0.3657 P
0.0000 0.5000 0.6343 P
0.5000 0.5000 0.0000 O
0.0000 0.0000 0.0000 O
```

## Properties
Final energy in eV per atom: -4.464
ΔE to the lowest computed polymorph in kJ/mol of formula units: 501.0

No. 2
Material: KTa3Pb5
Method: DFT, GGA-PBE
State: optimized geometry

POSCAR file:
```
KTa3Pb5
1.0
5.7889 0.0000 0.0000
-2.8944 5.0133 0.0000
0.0000 0.0000 9.6328
Pb Ta K
5 3 1
Direct
0.6667 0.3333 0.7720 Pb
0.3333 0.6667 0.7720 Pb
0.6667 0.3333 0.2280 Pb
0.0000 0.0000 0.5000 Pb
0.3333 0.6667 0.2280 Pb
0.0000 0.5000 0.5000 Ta
0.5000 0.5000 0.5000 Ta
0.5000 0.0000 0.5000 Ta
0.0000 0.0000 0.0000 K
```

## Properties
Final energy in eV per atom: -5.942

No. 3
Material: Na2MgZnGa2Ni2
Method: DFT, GGA-PBE
State: optimized geometry

POSCAR file:
```
Na2MgZnGa2Ni2
1.0
-1.4686 -4.1526 -0.6214
2.6091 -1.4183 3.3118
-4.6701 1.0347 4.1223
Zn Ni Na Mg Ga
1 2 2 1 2
Direct
0.5000 0.5000 0.0000 Zn
0.5000 0.0000 0.7590 Ni
0.0000 0.5000 0.2410 Ni
0.5000 0.0000 0.2413 Na
0.0000 0.5000 0.7586 Na
0.0000 0.0000 0.5000 Mg
0.5000 0.5000 0.5000 Ga
0.0000 0.0000 0.0000 Ga
```

## Properties
Final energy in eV per atom: -2.799

No. 4
Material: BeCuTcAs
Method: DFT, GGA-PBE
State: optimized geometry

POSCAR file:
```
BeCuTcAs
1.0
0.0000 2.9711 2.9711
2.9711 0.0000 2.9711
2.9711 2.9711 0.0000
Cu Be As Tc
1 1 1 1
Direct
0.7500 0.7500 0.7500 Cu
0.2500 0.2500 0.2500 Be
0.0000 0.0000 0.0000 As
0.5000 0.5000 0.5000 Tc
```

## Properties
Final energy in eV per atom: -5.053
ΔE to the lowest computed polymorph in kJ/mol of formula units: 127.4